VASP calculation (GGA+U) on Cs2CoO3 after structural relaxation.

a = 7.0279 Å, b = 7.0279 Å, c = 7.9849 Å
α = 113.64°, β = 113.64°, γ = 60.54°
Atoms (fractional coordinates):
1 Cs 0.0106 0.3195 0.1967
2 Cs 0.3195 0.0106 0.6967
3 Cs 0.6805 0.9894 0.3033
4 Cs 0.9894 0.6805 0.8033
5 Co 0.3977 0.6023 0.2500
6 Co 0.6023 0.3977 0.7500
7 O 0.1594 0.8406 0.2500
8 O 0.3548 0.3707 0.0913
9 O 0.3707 0.3548 0.5913
10 O 0.6293 0.6452 0.4087
11 O 0.6452 0.6293 0.9087
12 O 0.8406 0.1594 0.7500

Values from the calculation:
The total energy is -57.387 eV for the cell shown. As for the space group: C2/c, No. 15.